VASP calculation (PBE) on an optimized crystal structure of CdNiHg3.

The structure in POSCAR format:
```
CdNiHg3
1.0
5.0911 0.0000 0.0000
0.0000 5.0911 0.0000
0.0000 0.0000 5.0911
Cd Ni Hg
1 1 3
direct
0.0000 0.0000 0.0000 Cd
0.5000 0.5000 0.5000 Ni
0.0000 0.5000 0.5000 Hg
0.5000 0.0000 0.5000 Hg
0.5000 0.5000 0.0000 Hg
```

Results
For the total magnetization, the calculation gives 0.000 μB per cell. The value obtained for the calculated total energy is -0.0989 Ry per atom. The value obtained for the formation energy is 0.18 eV per atom. The calculation puts the relative energy among the computed polymorphs at 0 meV/atom. As for the space group: Pm-3m, No. 221.


VASP calculation (PBE) on an optimized crystal structure of Cd2NiHg.

The structure in POSCAR format:
```
Cd2NiHg
1.0
3.0849 0.0000 0.0000
-1.5424 2.6716 0.0000
0.0000 0.0000 28.8929
Cd Ni Hg
6 3 3
direct
0.0000 0.0000 0.2363 Cd
0.0000 0.0000 0.7637 Cd
0.3333 0.6667 0.4304 Cd
0.3333 0.6667 0.9030 Cd
0.6667 0.3333 0.0970 Cd
0.6667 0.3333 0.5696 Cd
0.0000 0.0000 0.5000 Ni
0.3333 0.6667 0.1667 Ni
0.6667 0.3333 0.8333 Ni
0.0000 0.0000 0.0000 Hg
0.3333 0.6667 0.6667 Hg
0.6667 0.3333 0.3333 Hg
```

Results
For the total magnetization, the calculation gives 0.001 μB per cell. The value obtained for the calculated total energy is -0.1345 Ry per atom. The value obtained for the formation energy is 0.15 eV per atom. As for the space group: R-3m, No. 166.